## a
Compound: La2Mg2Co
Source: Alexandria
Functional: PBE
Structure: optimized geometry

a = 6.877 Å, b = 6.877 Å, c = 5.439 Å
α = 90.00°, β = 90.00°, γ = 90.00°
Space group P4/mbm (No. 127)
Inequivalent atoms, fractional coordinates:
La  0.173  0.327  0.000 (multiplicity 4)
Mg  0.151  0.651  0.500 (multiplicity 4)
Co  0.000  0.000  0.500 (multiplicity 2)

=====

## b
Compound: La2Mg2Co
Source: Alexandria
Functional: PBE
Structure: optimized geometry

a = 5.244 Å, b = 5.244 Å, c = 5.173 Å
α = 90.00°, β = 90.00°, γ = 90.00°
Space group P4/mmm (No. 123)
Inequivalent atoms, fractional coordinates:
La  0.000  0.500  0.000 (multiplicity 2)
Mg  0.000  0.000  0.500 (multiplicity 1)
Mg  0.500  0.500  0.500 (multiplicity 1)
Co  0.000  0.000  0.000 (multiplicity 1)

=====

Energies, relative to the best one, in meV per atom: a 316; b 0.

=====

## a
Compound: NaLa2MgCo
Source: Alexandria
Functional: PBE
Structure: optimized geometry

a = 5.321 Å, b = 5.321 Å, c = 5.278 Å
α = 90.00°, β = 90.00°, γ = 90.00°
Space group P4/mmm (No. 123)
Inequivalent atoms, fractional coordinates:
Na  0.000  0.000  0.000 (multiplicity 1)
La  0.000  0.500  0.500 (multiplicity 2)
Mg  0.500  0.500  0.000 (multiplicity 1)
Co  0.500  0.500  0.500 (multiplicity 1)

=====

## b
Compound: NaLa2MgCo
Source: Alexandria
Functional: PBE
Structure: optimized geometry

a = 5.174 Å, b = 5.174 Å, c = 5.715 Å
α = 90.00°, β = 90.00°, γ = 90.00°
Space group P4/mmm (No. 123)
Inequivalent atoms, fractional coordinates:
Na  0.000  0.000  0.000 (multiplicity 1)
La  0.000  0.500  0.500 (multiplicity 2)
Mg  0.500  0.500  0.000 (multiplicity 1)
Co  0.000  0.000  0.500 (multiplicity 1)

=====

Energies, relative to the best one, in meV per atom: a 0; b 134.